Below is Lu3Mn2Ga4 after structural relaxation, with properties calculated at the PBE-GGA level.

a b c (Å): 7.470 7.470 3.558
angles (deg): 90.00 90.00 120.00
Atoms (fractional coordinates):
Ga: 0.288 0.288 0.000
Ga: 0.000 0.000 0.500
Ga: 0.712 0.000 0.000
Ga: 0.000 0.712 0.000
Mn: 0.333 0.667 0.000
Mn: 0.667 0.333 0.000
Lu: 0.383 0.000 0.500
Lu: 0.617 0.617 0.500
Lu: 0.000 0.383 0.500

=====

Below is NpInRh2 after structural relaxation, with properties calculated at the PBE-GGA level.

a b c (Å): 3.343 4.709 4.709
angles (deg): 90.00 90.00 90.00
Atoms (fractional coordinates):
Rh: 0.000 0.500 0.000
Rh: 0.000 0.000 0.500
Np: 0.500 0.500 0.500
In: 0.500 0.000 0.000

=====

Below is Er2ZrSb2 after structural relaxation, with properties calculated at the PBE-GGA level.

a b c (Å): 6.095 7.935 7.712
angles (deg): 120.96 113.28 90.00
Atoms (fractional coordinates):
Er: 0.650 0.991 0.299
Er: 0.850 0.692 0.701
Er: 0.150 0.308 0.299
Er: 0.350 0.009 0.701
Sb: 0.608 0.327 0.216
Sb: 0.892 0.111 0.784
Sb: 0.392 0.673 0.784
Sb: 0.108 0.889 0.216
Zr: 0.750 0.500 0.000
Zr: 0.250 0.500 0.000

## Properties
The calculation puts the formation energy (no corrections) at -0.705 eV per atom.

=====

Below is NbPd7 after structural relaxation, with properties calculated at the PBE-GGA level.

a b c (Å): 3.983 3.983 8.347
angles (deg): 103.80 103.80 90.00
Atoms (fractional coordinates):
Pd: 0.879 0.379 0.757
Pd: 0.621 0.121 0.243
Pd: 0.500 0.500 0.000
Pd: 0.748 0.748 0.496
Pd: 0.121 0.621 0.243
Pd: 0.379 0.879 0.757
Pd: 0.252 0.252 0.504
Nb: 0.000 0.000 0.000

=====

no.,M_tot (μB/atom),raw total energy (Ry per atom)
1,0.665,-0.38352
2,0.873,-0.58342
3,0.000,-0.43280
4,0.000,-0.44661